Entry from the Alexandria database: an optimized crystal structure of SrMg2Ru (PBE).

## Properties
Electronic total energy = -13.68 eV/cell
Density = 3.80 Mg/m³

abc: 4.654 4.654 6.142
angles: 67.79 67.79 59.91
Positions (direct):
1 Mg 0.049 0.049 0.853
2 Mg 0.769 0.769 0.694
3 Ru 0.437 0.437 0.690
4 Sr 0.245 0.245 0.263


Entry from the Alexandria database: an optimized crystal structure of Th2Si3Ir3 (PBE).

## Properties
Electronic total energy = -51.47 eV/cell
Density = 10.82 Mg/m³
Energy relative to the elements, uncorrected = 0.778 eV/atom

abc: 2.915 2.915 20.323
angles: 90.00 90.00 90.00
Positions (direct):
1 Th 0.500 0.500 0.758
2 Th 0.500 0.500 0.242
3 Si 0.500 0.500 0.387
4 Si 0.500 0.500 0.613
5 Si 0.500 0.500 0.000
6 Ir 0.500 0.500 0.112
7 Ir 0.500 0.500 0.888
8 Ir 0.500 0.500 0.500


Entry from the Alexandria database: an optimized crystal structure of Mg5Ga4Pd (PBE).

## Properties
Electronic total energy = -27.93 eV/cell
Density = 4.53 Mg/m³

abc: 3.318 3.318 16.877
angles: 90.00 90.00 90.00
Positions (direct):
1 Mg 0.500 0.500 0.088
2 Mg 0.500 0.500 0.289
3 Mg 0.500 0.500 0.500
4 Mg 0.500 0.500 0.711
5 Mg 0.500 0.500 0.912
6 Ga 0.000 0.000 0.188
7 Ga 0.000 0.000 0.395
8 Ga 0.000 0.000 0.605
9 Ga 0.000 0.000 0.812
10 Pd 0.000 0.000 0.000


Entry from the Alexandria database: an optimized crystal structure of La2HoIr2I2 (PBE).

## Properties
Electronic total energy = -40.63 eV/cell
Density = 7.97 Mg/m³
Energy relative to the elements, uncorrected = -0.767 eV/atom

abc: 5.181 5.181 9.157
angles: 106.43 106.43 90.00
Positions (direct):
1 La 0.397 0.397 0.793
2 La 0.603 0.603 0.207
3 Ho 0.000 0.000 0.000
4 Ir 0.000 0.500 0.000
5 Ir 0.500 0.000 0.000
6 I 0.191 0.191 0.381
7 I 0.809 0.809 0.619


Entry from the Alexandria database: an optimized crystal structure of SnBiIr (PBE).

## Properties
Electronic total energy = -16.59 eV/cell
Density = 11.46 Mg/m³

abc: 5.844 3.858 3.858
angles: 120.00 90.00 90.00
Positions (direct):
1 Ir 0.324 0.667 0.333
2 Bi 0.607 0.333 0.667
3 Sn 0.070 0.000 0.000


Entry from the Alexandria database: an optimized crystal structure of MnPbAu4 (PBE).

## Properties
Electronic total energy = -26.23 eV/cell
Density = 14.80 Mg/m³

abc: 3.470 3.470 9.783
angles: 90.00 90.00 90.00
Site moments in Bohr magnetons follow the coordinates.
Positions (direct):
1 Mn 0.500 0.500 0.500  4.00
2 Pb 0.000 0.000 0.000  0.01
3 Au 0.500 0.500 0.798  0.02
4 Au 0.500 0.500 0.202  0.02
5 Au 0.000 0.000 0.643  0.05
6 Au 0.000 0.000 0.357  0.05


Entry from the Alexandria database: an optimized crystal structure of Na3SiBi (PBE).

## Properties
Electronic total energy = -11.19 eV/cell
Density = 3.10 Mg/m³
Energy relative to the elements, uncorrected = 0.414 eV/atom

abc: 5.475 5.475 5.475
angles: 90.00 90.00 90.00
Positions (direct):
1 Na 0.000 0.500 0.000
2 Na 0.000 0.000 0.500
3 Na 0.500 0.000 0.000
4 Si 0.000 0.000 0.000
5 Bi 0.500 0.500 0.500


Entry from the Alexandria database: an optimized crystal structure of NdNiAs (PBE).

## Properties
Electronic total energy = -35.84 eV/cell
Density = 7.83 Mg/m³

abc: 4.187 4.187 6.719
angles: 90.00 90.00 90.00
Positions (direct):
1 Nd 0.250 0.250 0.809
2 Nd 0.750 0.750 0.191
3 As 0.250 0.250 0.290
4 As 0.750 0.750 0.710
5 Ni 0.750 0.250 0.500
6 Ni 0.250 0.750 0.500